# NaTiVO2 | Alexandria | PBE with a Hubbard U | optimized geometry
data_NaTiVO2
_chemical_formula_sum 'Na1 Ti1 V1 O2'
_space_group_name_H-M_alt 'P 1'
_space_group_IT_number 1
_cell_length_a 4.075
_cell_length_b 4.210
_cell_length_c 4.075
_cell_angle_alpha 90.00
_cell_angle_beta 90.00
_cell_angle_gamma 90.00
loop_
_space_group_symop_operation_xyz
'x,y,z'
loop_
_atom_site_label
_atom_site_fract_x
_atom_site_fract_y
_atom_site_fract_z
V1 0.500 0.500 0.500
Na1 0.000 0.000 0.000
Ti1 0.000 0.500 0.000
O1 0.000 0.000 0.500
O2 0.500 0.000 0.000
# SG: P4/mmm (123)
# DFT total energy in eV per cell: -21.87
# Crystal system: tetragonal
# Volume in Å³/atom: 13.980